The following is a DFT calculation (PBE) of an optimized crystal structure of ReSiW.

Structure (CIF):
```
data_ReSiW
_chemical_formula_sum 'Re4 Si4 W4'
_cell_length_a 5.921
_cell_length_b 5.921
_cell_length_c 5.921
_cell_angle_alpha 90.00
_cell_angle_beta 90.00
_cell_angle_gamma 90.00
_symmetry_space_group_name_H-M 'F -4 3 m'
_symmetry_Int_Tables_number 216
_symmetry_space_group_name_Hall 'F -4 2 3'
loop_
_atom_site_label
_atom_site_type_symbol
_atom_site_fract_x
_atom_site_fract_y
_atom_site_fract_z
Re1 Re 0.000 0.000 0.000
Si1 Si 0.250 0.250 0.250
W1 W 0.250 0.250 0.750
```

Summary:
Excess energy over the best structure of this formula in the dataset in meV/atom: 287